[1]
Material: BeGaN2
Method: DFT, PBE-GGA
State: optimized geometry

Calculated values
crystal system = trigonal
electronic total energy = -5.301 eV/atom
SG = No. 166
V = 41.0 Å³ per cell

Geometry as extended XYZ:
```
4
Lattice="1.6999 0.0000 5.4624 -0.8499 1.4721 5.4624 -0.8499 -1.4721 5.4624" Properties=species:S:1:pos:R:3 pbc="T T T"
Be 0.0000 0.0000 8.1937
Ga 0.0000 0.0000 0.0000
N 0.0000 0.0000 14.5880
N 0.0000 0.0000 1.7993
```

[2]
Material: BeGaN2
Method: DFT, PBE-GGA
State: optimized geometry

Calculated values
crystal system = tetragonal
electronic total energy = -6.122 eV/atom
SG = No. 122
V = 76.9 Å³ per cell

Geometry as extended XYZ:
```
8
Lattice="4.1804 0.0000 0.0000 0.0000 4.1804 0.0000 2.0902 2.0902 4.4026" Properties=species:S:1:pos:R:3 pbc="T T T"
Be 2.0902 2.0902 0.0000
Be 2.0902 4.1804 2.2013
Ga 0.0000 0.0000 0.0000
Ga 4.1804 2.0902 2.2013
N 2.9756 1.0451 1.1007
N 1.2048 3.1353 1.1007
N 3.1353 3.2950 3.3020
N 5.2255 5.0658 3.3020
```

[3]
Material: NaBe2GaN
Method: DFT, PBE-GGA
State: optimized geometry

Calculated values
crystal system = tetragonal
electronic total energy = -2.099 eV/atom
SG = No. 123
V = 83.8 Å³ per cell

Geometry as extended XYZ:
```
5
Lattice="4.5298 0.0000 0.0000 0.0000 4.0827 0.0000 0.0000 0.0000 4.5298" Properties=species:S:1:pos:R:3 pbc="T T T"
Na 0.0000 0.0000 0.0000
Be 0.0000 0.0000 2.2649
Be 2.2649 0.0000 0.0000
Ga 2.2649 2.0413 2.2649
N 0.0000 2.0413 0.0000
```

[4]
Material: BeGaN2O
Method: DFT, PBE-GGA
State: optimized geometry

Calculated values
crystal system = tetragonal
electronic total energy = -5.087 eV/atom
SG = No. 123
V = 51.6 Å³ per cell

Geometry as extended XYZ:
```
5
Lattice="3.1262 0.0000 0.0000 0.0000 3.1262 0.0000 0.0000 0.0000 5.2835" Properties=species:S:1:pos:R:3 pbc="T T T"
Be 0.0000 0.0000 0.0000
O 0.0000 0.0000 2.6418
Ga 1.5631 1.5631 2.6418
N 0.0000 1.5631 0.0000
N 1.5631 0.0000 0.0000
```

[5]
Material: BeGaNO2
Method: DFT, PBE-GGA
State: optimized geometry

Calculated values
crystal system = tetragonal
electronic total energy = -4.616 eV/atom
SG = No. 123
V = 56.1 Å³ per cell

Geometry as extended XYZ:
```
5
Lattice="-2.4234 -2.9664 -0.2138 2.6467 -2.0253 -1.9005 1.3476 -1.3390 3.3037" Properties=species:S:1:pos:R:3 pbc="T T T"
Be 0.7854 -3.1653 0.5947
O 1.3233 -1.0126 -0.9502
O -1.2117 -1.4832 -0.1069
Ga 0.0000 0.0000 0.0000
N 0.6738 -0.6695 1.6518
```

[6]
Material: BeGaNO2
Method: DFT, PBE-GGA
State: optimized geometry

Calculated values
crystal system = tetragonal
electronic total energy = -5.217 eV/atom
SG = No. 123
V = 48.7 Å³ per cell

Geometry as extended XYZ:
```
5
Lattice="-2.5968 1.1023 -1.3959 -1.6814 -2.3268 1.2905 -0.9052 2.8253 3.9149" Properties=species:S:1:pos:R:3 pbc="T T T"
Be 0.0000 0.0000 0.0000
O -0.8407 -1.1634 0.6452
O -1.2984 0.5511 -0.6979
Ga -2.5917 0.8004 1.9048
N -0.4526 1.4127 1.9575
```

Q: Look up the electronic total energy of the fifth one.
A: -4.616 eV/atom

Copy entry 4 word for word.
Material: BeGaN2O
Method: DFT, PBE-GGA
State: optimized geometry

Calculated values
crystal system = tetragonal
electronic total energy = -5.087 eV/atom
SG = No. 123
V = 51.6 Å³ per cell

Geometry as extended XYZ:
```
5
Lattice="3.1262 0.0000 0.0000 0.0000 3.1262 0.0000 0.0000 0.0000 5.2835" Properties=species:S:1:pos:R:3 pbc="T T T"
Be 0.0000 0.0000 0.0000
O 0.0000 0.0000 2.6418
Ga 1.5631 1.5631 2.6418
N 0.0000 1.5631 0.0000
N 1.5631 0.0000 0.0000
```

Q: The highest electronic total energy belongs to which entry?
A: NaBe2GaN

Repeat the sixth record exactly.
Material: BeGaNO2
Method: DFT, PBE-GGA
State: optimized geometry

Calculated values
crystal system = tetragonal
electronic total energy = -5.217 eV/atom
SG = No. 123
V = 48.7 Å³ per cell

Geometry as extended XYZ:
```
5
Lattice="-2.5968 1.1023 -1.3959 -1.6814 -2.3268 1.2905 -0.9052 2.8253 3.9149" Properties=species:S:1:pos:R:3 pbc="T T T"
Be 0.0000 0.0000 0.0000
O -0.8407 -1.1634 0.6452
O -1.2984 0.5511 -0.6979
Ga -2.5917 0.8004 1.9048
N -0.4526 1.4127 1.9575
```